# 1
First-principles (PBE) data for crystalline Hg2OF2 at its relaxed geometry, as listed in OQMD. Values from VASP.

Computed properties:
* E above lowest polymorph: 24 meV per atom

```
&SYSTEM
  ibrav = 0, nat = 10, ntyp = 3
/
ATOMIC_SPECIES
Hg 200.59 Hg.upf
O 16.00 O.upf
F 19.00 F.upf
CELL_PARAMETERS angstrom
5.2847 -3.8628 0.0000
5.2847 3.8628 0.0000
-0.7182 0.0000 3.7042
ATOMIC_POSITIONS angstrom
Hg 5.2847 2.0960 0.0000
Hg 2.0925 0.0000 2.4644
Hg 7.7586 0.0000 1.2399
Hg 5.2847 -2.0960 0.0000
O 1.4262 0.0000 0.3149
O 8.4249 0.0000 3.3893
F 3.6396 1.4260 1.4663
F 6.2115 1.4260 2.2379
F 3.6396 -1.4260 1.4663
F 6.2115 -1.4260 2.2379
```

---

# 2
First-principles (PBE) data for crystalline Hg2OF2 at its relaxed geometry, as listed in OQMD. Values from VASP.

Computed properties:
* E above lowest polymorph: 62 meV per atom

```
&SYSTEM
  ibrav = 0, nat = 10, ntyp = 3
/
ATOMIC_SPECIES
Hg 200.59 Hg.upf
O 16.00 O.upf
F 19.00 F.upf
CELL_PARAMETERS angstrom
-3.3114 3.3114 5.3560
3.3114 -3.3114 5.3560
3.3114 3.3114 -5.3560
ATOMIC_POSITIONS angstrom
Hg 0.0000 0.0000 0.0000
Hg 1.6557 1.6557 -2.6780
Hg 1.6557 -1.6557 2.6780
Hg 0.0000 3.3114 0.0000
O 3.3114 -1.6557 4.0170
O 0.0000 4.9670 1.3390
F 3.3114 1.6557 -1.0473
F 0.0000 1.6557 1.6307
F 3.3114 1.6557 3.7253
F 0.0000 1.6557 6.4033
```

---

# 3
First-principles (PBE) data for crystalline Hg2OF2 at its relaxed geometry, as listed in OQMD. Values from VASP.

Computed properties:
* E above lowest polymorph: 0 meV per atom

```
&SYSTEM
  ibrav = 0, nat = 10, ntyp = 3
/
ATOMIC_SPECIES
Hg 200.59 Hg.upf
O 16.00 O.upf
F 19.00 F.upf
CELL_PARAMETERS angstrom
-2.8202 5.0007 2.6905
2.8202 -5.0007 2.6905
2.8202 5.0007 -2.6905
ATOMIC_POSITIONS angstrom
Hg 1.3800 1.0861 0.0000
Hg 1.3800 -1.0861 2.6905
Hg 1.4403 6.0868 0.0000
Hg 1.4403 3.9145 2.6905
O 0.0000 0.0000 1.3452
O 0.0000 0.0000 4.0357
F 3.5033 1.6238 0.0000
F 0.6830 3.3768 0.0000
F 2.1372 1.6238 2.6905
F -0.6830 3.3768 2.6905
```

---

# 4
First-principles (PBE) data for crystalline Ta2Hg3SO4F10 at its relaxed geometry, as listed in OQMD. Values from VASP.

Computed properties:
* total magnetization: 0.000 μB/atom
* electronic total energy: -224.85 eV/cell

```
&SYSTEM
  ibrav = 0, nat = 40, ntyp = 5
/
ATOMIC_SPECIES
Ta 180.95 Ta.upf
Hg 200.59 Hg.upf
S 32.06 S.upf
O 16.00 O.upf
F 19.00 F.upf
CELL_PARAMETERS angstrom
0.0000 8.8847 4.3203
7.7610 0.0000 4.3203
7.7610 8.8847 0.0000
ATOMIC_POSITIONS angstrom
Ta 8.6388 5.4478 4.3203
Ta 10.7635 9.8901 6.4804
Ta 6.8831 12.3216 4.3203
Ta 12.5193 16.7639 6.4804
Hg 9.5522 10.6602 2.0147
Hg 5.9698 7.1092 2.0147
Hg 5.6717 2.6669 4.1748
Hg 7.7610 8.8847 2.4262
Hg 11.6414 13.3270 4.5864
Hg 2.0893 6.2178 4.1748
S 3.8805 4.4423 0.9278
S 7.7610 8.8847 7.4081
O 7.0928 0.9692 3.9414
O 10.6773 5.1381 4.3285
O 3.2123 3.4731 1.7813
O 4.5487 5.4116 1.7813
O 8.7251 9.5804 6.4886
O 6.7968 8.1890 6.4886
O 0.6682 7.9154 3.9414
O 4.8446 12.6313 4.3285
F 4.5817 0.9059 2.1743
F 8.7545 5.5026 2.4216
F 12.5709 7.8998 4.0761
F 8.4621 3.5365 4.3344
F 8.9396 7.3333 4.4045
F 6.7572 5.6409 4.3218
F 10.6479 9.9450 4.5818
F 8.6904 5.4272 6.2362
F 3.1793 7.9788 2.1743
F 12.6452 10.0832 6.4819
F 6.7674 12.2667 2.4216
F 8.7647 12.1285 4.3218
F 4.8740 7.8244 4.5818
F 6.5823 10.4361 4.4045
F 10.4628 11.7756 6.5646
F 12.8201 14.8784 6.5646
F 2.9510 9.8696 4.0761
F 7.0598 14.2329 4.3344
F 6.8315 12.3421 6.2362
F 10.6377 16.5708 6.4819
```

---

# 5
First-principles (PBE) data for crystalline HgTe2O2F10 at its relaxed geometry, as listed in OQMD. Values from VASP.

Computed properties:
* electronic total energy: -119.62 eV/cell

```
&SYSTEM
  ibrav = 0, nat = 30, ntyp = 4
/
ATOMIC_SPECIES
Hg 200.59 Hg.upf
Te 127.60 Te.upf
O 16.00 O.upf
F 19.00 F.upf
CELL_PARAMETERS angstrom
8.9464 -4.0799 0.0000
8.9464 4.0799 0.0000
-0.4404 0.0000 5.3014
ATOMIC_POSITIONS angstrom
Hg 8.6162 2.9373 3.9761
Hg 8.8363 -2.9373 1.3254
Te 6.3947 1.9837 1.7166
Te 11.2780 1.9837 0.9341
Te 6.1745 -1.9837 4.3673
Te 11.0578 -1.9837 3.5848
O 7.4752 3.3965 2.2534
O 10.1975 3.3965 0.3973
O 7.2550 -3.3965 4.9042
O 9.9773 -3.3965 3.0480
F 5.3763 2.1240 3.2775
F 3.2265 0.9768 4.5625
F 7.4068 1.7206 0.1379
F 5.3948 0.5147 1.1922
F 3.4467 -0.9768 1.9118
F 7.5569 0.7790 2.6014
F 5.1746 -0.5147 3.8430
F 10.2659 1.7206 2.5128
F 11.8560 2.1240 4.6747
F 10.1158 0.7790 0.0494
F 7.3367 -0.7790 5.2521
F 5.5965 -2.1240 0.6267
F 7.1866 -1.7206 2.7887
F 12.2779 0.5147 1.4585
F 9.8956 -0.7790 2.7001
F 14.0058 0.9768 3.3897
F 12.0577 -0.5147 4.1092
F 10.0457 -1.7206 5.1635
F 14.2260 -0.9768 0.7390
F 12.0762 -2.1240 2.0240
```

---

# 6
First-principles (PBE) data for crystalline Zn2Hg2OF6 at its relaxed geometry, as listed in OQMD. Values from VASP.

Computed properties:
* electronic total energy: -76.37 eV/cell

```
&SYSTEM
  ibrav = 0, nat = 22, ntyp = 4
/
ATOMIC_SPECIES
Zn 65.41 Zn.upf
Hg 200.59 Hg.upf
O 16.00 O.upf
F 19.00 F.upf
CELL_PARAMETERS angstrom
0.0000 5.1755 5.1755
5.1755 0.0000 5.1755
5.1755 5.1755 0.0000
ATOMIC_POSITIONS angstrom
Zn 0.0000 0.0000 0.0000
Zn 2.5877 2.5877 0.0000
Zn 2.5877 0.0000 2.5877
Zn 0.0000 2.5877 2.5877
Hg 5.1755 2.5877 2.5877
Hg 2.5877 5.1755 2.5877
Hg 2.5877 2.5877 5.1755
Hg 5.1755 5.1755 5.1755
O 3.8816 3.8816 3.8816
O 6.4693 6.4693 6.4693
F 3.8816 3.8816 0.7902
F 3.8816 0.7902 3.8816
F 6.9729 3.8816 3.8816
F 6.4693 6.4693 3.3780
F 6.4693 3.3780 6.4693
F 9.5607 6.4693 6.4693
F 0.7902 3.8816 3.8816
F 3.8816 6.9729 3.8816
F 3.8816 3.8816 6.9729
F 3.3780 6.4693 6.4693
F 6.4693 9.5607 6.4693
F 6.4693 6.4693 9.5607
```

---

# 7
First-principles (PBE) data for crystalline Hg2OsF6 at its relaxed geometry, as listed in OQMD. Values from VASP.

Computed properties:
* total magnetization: 0.319 μB/atom
* electronic total energy: -36.13 eV/cell

```
&SYSTEM
  ibrav = 0, nat = 9, ntyp = 3
/
ATOMIC_SPECIES
Hg 200.59 Hg.upf
Os 190.23 Os.upf
F 19.00 F.upf
CELL_PARAMETERS angstrom
4.7468 -2.6256 0.0000
4.7468 2.6256 0.0000
-0.0114 0.0000 5.5140
ATOMIC_POSITIONS angstrom
Hg 2.0455 0.0000 2.7463
Hg 7.4367 0.0000 2.7678
Os 4.7468 0.0000 0.0000
F 4.7429 1.3316 1.3685
F 4.7394 1.3316 4.1455
F 2.8167 0.0000 5.5090
F 6.6656 0.0000 0.0051
F 4.7429 -1.3316 1.3685
F 4.7394 -1.3316 4.1455
```

---

# 8
First-principles (PBE) data for crystalline Hg2PF6 at its relaxed geometry, as listed in OQMD. Values from VASP.

Computed properties:
* electronic total energy: -70.59 eV/cell

```
&SYSTEM
  ibrav = 0, nat = 18, ntyp = 3
/
ATOMIC_SPECIES
Hg 200.59 Hg.upf
P 30.97 P.upf
F 19.00 F.upf
CELL_PARAMETERS angstrom
5.6313 0.0000 0.0000
0.0000 5.2759 0.0000
-0.0390 0.0000 9.1129
ATOMIC_POSITIONS angstrom
Hg -0.0069 1.2267 2.3020
Hg -0.0264 1.4113 6.8585
Hg 5.6187 3.8647 2.2544
Hg 5.5992 4.0492 6.8108
P 2.8157 0.0000 0.0000
P 2.7962 2.6380 4.5564
F 1.6436 3.7990 4.5516
F 1.6241 4.1149 9.1081
F 1.6657 1.1635 0.0223
F 1.6462 1.4744 4.5787
F 2.7651 0.0196 7.4868
F 2.7846 2.6183 2.9304
F 2.8077 2.6576 6.1825
F 2.8272 5.2563 1.6261
F 3.9461 3.8015 4.5342
F 3.9266 4.1124 9.0906
F 3.9682 1.1610 0.0048
F 3.9487 1.4770 4.5612
```

---

Copy entry 8 word for word.
First-principles (PBE) data for crystalline Hg2PF6 at its relaxed geometry, as listed in OQMD. Values from VASP.

Computed properties:
* electronic total energy: -70.59 eV/cell

```
&SYSTEM
  ibrav = 0, nat = 18, ntyp = 3
/
ATOMIC_SPECIES
Hg 200.59 Hg.upf
P 30.97 P.upf
F 19.00 F.upf
CELL_PARAMETERS angstrom
5.6313 0.0000 0.0000
0.0000 5.2759 0.0000
-0.0390 0.0000 9.1129
ATOMIC_POSITIONS angstrom
Hg -0.0069 1.2267 2.3020
Hg -0.0264 1.4113 6.8585
Hg 5.6187 3.8647 2.2544
Hg 5.5992 4.0492 6.8108
P 2.8157 0.0000 0.0000
P 2.7962 2.6380 4.5564
F 1.6436 3.7990 4.5516
F 1.6241 4.1149 9.1081
F 1.6657 1.1635 0.0223
F 1.6462 1.4744 4.5787
F 2.7651 0.0196 7.4868
F 2.7846 2.6183 2.9304
F 2.8077 2.6576 6.1825
F 2.8272 5.2563 1.6261
F 3.9461 3.8015 4.5342
F 3.9266 4.1124 9.0906
F 3.9682 1.1610 0.0048
F 3.9487 1.4770 4.5612
```